a) Density functional theory data (PBE-GGA) for an optimized crystal structure of Y12HoTm6.

Summary:
Mass density: 6.06 Mg/m³
Crystal system: trigonal
Volume: 615.4 Å³/f.u.
Symmetry: No. 148
Spin magnetization: 0.1 μB per cell

abc: 8.5120 8.5120 8.5120
angles: 87.81 87.81 87.81
With the nearest neighbours (Å) after each atom.
Element x y z (fractional)
Y  0.0105  0.3601  0.2006  5 Y 3.45-3.85, 4 Tm 3.50-3.66, 1 Ho 3.57
Y  0.2006  0.0105  0.3601  5 Y 3.45-3.85, 4 Tm 3.50-3.66, 1 Ho 3.57
Y  0.2225  0.5648  0.4573  3 Tm 3.25-3.44, 6 Y 3.32-3.58
Y  0.3601  0.2006  0.0105  5 Y 3.45-3.85, 4 Tm 3.50-3.66, 1 Ho 3.57
Y  0.4352  0.5427  0.7775  3 Tm 3.25-3.44, 6 Y 3.32-3.58
Y  0.4573  0.2225  0.5648  3 Tm 3.25-3.44, 6 Y 3.32-3.58
Y  0.5427  0.7775  0.4352  3 Tm 3.25-3.44, 6 Y 3.32-3.58
Y  0.5648  0.4573  0.2225  3 Tm 3.25-3.44, 6 Y 3.32-3.58
Y  0.6399  0.7994  0.9895  5 Y 3.45-3.85, 4 Tm 3.50-3.66, 1 Ho 3.57
Y  0.7775  0.4352  0.5427  3 Tm 3.25-3.44, 6 Y 3.32-3.58
Y  0.7994  0.9895  0.6399  5 Y 3.45-3.85, 4 Tm 3.50-3.66, 1 Ho 3.57
Y  0.9895  0.6399  0.7994  5 Y 3.45-3.85, 4 Tm 3.50-3.66, 1 Ho 3.57
Ho  0.0000  0.0000  0.0000  6 Tm 3.41, 6 Y 3.57
Tm  0.0939  0.2556  0.6949  6 Y 3.25-3.59, 1 Ho 3.41, 2 Tm 3.44
Tm  0.2556  0.6949  0.0939  6 Y 3.25-3.59, 1 Ho 3.41, 2 Tm 3.44
Tm  0.3051  0.9061  0.7444  6 Y 3.25-3.59, 1 Ho 3.41, 2 Tm 3.44
Tm  0.6949  0.0939  0.2556  6 Y 3.25-3.59, 1 Ho 3.41, 2 Tm 3.44
Tm  0.7444  0.3051  0.9061  6 Y 3.25-3.59, 1 Ho 3.41, 2 Tm 3.44
Tm  0.9061  0.7444  0.3051  6 Y 3.25-3.59, 1 Ho 3.41, 2 Tm 3.44

---

b) Density functional theory data (PBE-GGA) for an optimized crystal structure of Y12HoTm6.

Summary:
Mass density: 5.97 Mg/m³
Crystal system: trigonal
Volume: 624.3 Å³/f.u.
Symmetry: No. 166
Spin magnetization: 0.0 μB per cell

abc: 8.6413 8.6413 8.6413
angles: 98.03 98.03 98.03
With the nearest neighbours (Å) after each atom.
Element x y z (fractional)
Y  0.0000  0.2635  0.7365  4 Tm 3.33-3.52, 1 Ho 3.44, 6 Y 3.44-3.50
Y  0.0000  0.7365  0.2635  4 Tm 3.33-3.52, 6 Y 3.44-3.50, 1 Ho 3.44
Y  0.1660  0.5932  0.5932  7 Y 3.18-3.50
Y  0.2635  0.0000  0.7365  4 Tm 3.33-3.52, 1 Ho 3.44, 6 Y 3.44-3.50
Y  0.2635  0.7365  0.0000  4 Tm 3.33-3.52, 6 Y 3.44-3.50, 1 Ho 3.44
Y  0.4068  0.4068  0.8340  7 Y 3.18-3.50
Y  0.4068  0.8340  0.4068  7 Y 3.18-3.50
Y  0.5932  0.1660  0.5932  7 Y 3.18-3.50
Y  0.5932  0.5932  0.1660  7 Y 3.18-3.50
Y  0.7365  0.0000  0.2635  4 Tm 3.33-3.52, 6 Y 3.44-3.50, 1 Ho 3.44
Y  0.7365  0.2635  0.0000  4 Tm 3.33-3.52, 6 Y 3.44-3.50, 1 Ho 3.44
Y  0.8340  0.4068  0.4068  7 Y 3.18-3.50
Ho  0.0000  0.0000  0.0000  6 Y 3.44, 6 Tm 3.55
Tm  0.1399  0.1399  0.4083  4 Y 3.33-3.52, 2 Tm 3.50, 1 Ho 3.55
Tm  0.1399  0.4083  0.1399  4 Y 3.33-3.52, 2 Tm 3.50, 1 Ho 3.55
Tm  0.4083  0.1399  0.1399  4 Y 3.33-3.52, 2 Tm 3.50, 1 Ho 3.55
Tm  0.5917  0.8601  0.8601  4 Y 3.33-3.52, 2 Tm 3.50, 1 Ho 3.55
Tm  0.8601  0.5917  0.8601  4 Y 3.33-3.52, 2 Tm 3.50, 1 Ho 3.55
Tm  0.8601  0.8601  0.5917  4 Y 3.33-3.52, 2 Tm 3.50, 1 Ho 3.55

---

The relative energies come out as a) 7; b) 0, with values in meV per atom.

---

a) Density functional theory data (PBE-GGA) for an optimized crystal structure of YHoTm4.

Summary:
Mass density: 8.19 Mg/m³
Crystal system: monoclinic
Volume: 188.5 Å³/f.u.
Symmetry: No. 15
Spin magnetization: 0.0 μB per cell

abc: 8.4335 8.4335 6.3853
angles: 100.03 100.03 118.10
With the nearest neighbours (Å) after each atom.
Element x y z (fractional)
Y  0.0860  0.9140  0.7500  10 Tm 3.48-3.85
Y  0.9140  0.0860  0.2500  10 Tm 3.48-3.85
Ho  0.4980  0.5020  0.2500  2 Ho 3.19, 8 Tm 3.32-3.52
Ho  0.5020  0.4980  0.7500  2 Ho 3.19, 8 Tm 3.32-3.52
Tm  0.0728  0.3358  0.8777  3 Tm 3.26-3.36, 2 Ho 3.41-3.52, 2 Y 3.48-3.57
Tm  0.2107  0.6007  0.4678  4 Tm 3.26-3.42, 2 Ho 3.32-3.34, 1 Y 3.60
Tm  0.3358  0.0728  0.3777  3 Tm 3.26-3.36, 2 Ho 3.41-3.52, 2 Y 3.48-3.57
Tm  0.3993  0.7893  0.0322  4 Tm 3.26-3.42, 2 Ho 3.32-3.34, 1 Y 3.60
Tm  0.6007  0.2107  0.9678  4 Tm 3.26-3.42, 2 Ho 3.32-3.34, 1 Y 3.60
Tm  0.6642  0.9272  0.6223  3 Tm 3.26-3.36, 2 Ho 3.41-3.52, 2 Y 3.48-3.57
Tm  0.7893  0.3993  0.5322  4 Tm 3.26-3.42, 2 Ho 3.32-3.34, 1 Y 3.60
Tm  0.9272  0.6642  0.1223  3 Tm 3.26-3.36, 2 Ho 3.41-3.52, 2 Y 3.48-3.57

---

b) Density functional theory data (PBE-GGA) for an optimized crystal structure of YHoTm4.

Summary:
Mass density: 7.98 Mg/m³
Crystal system: cubic
Volume: 193.4 Å³/f.u.
Symmetry: No. 216
Spin magnetization: 0.8 μB per cell

abc: 6.4910 6.4910 6.4910
angles: 60.00 60.00 60.00
With the nearest neighbours (Å) after each atom.
Element x y z (fractional)
Y  0.0000  0.0000  0.0000  12 Tm 3.81, 4 Ho 3.97
Ho  0.2500  0.2500  0.2500  12 Tm 3.81, 4 Y 3.97
Tm  0.1250  0.6250  0.6250  6 Tm 3.25
Tm  0.6250  0.1250  0.6250  6 Tm 3.25
Tm  0.6250  0.6250  0.1250  6 Tm 3.25
Tm  0.6250  0.6250  0.6250  6 Tm 3.25

---

c) Density functional theory data (PBE-GGA) for an optimized crystal structure of YHoTm4.

Summary:
Mass density: 8.44 Mg/m³
Crystal system: triclinic
Volume: 183.0 Å³/f.u.
Symmetry: No. 2
Spin magnetization: 0.0 μB per cell

abc: 3.5074 4.9599 10.5177
angles: 90.02 90.23 90.12
With the nearest neighbours (Å) after each atom.
Element x y z (fractional)
Y  0.0000  0.0000  0.0000  2 Y 3.51, 10 Tm 3.51-3.52
Ho  0.5000  0.5000  0.5000  10 Tm 3.49-3.51, 2 Ho 3.51
Tm  0.9997  0.0000  0.3338  7 Tm 3.49-3.51, 4 Ho 3.50-3.51, 1 Y 3.51
Tm  0.0003  0.0000  0.6662  7 Tm 3.49-3.51, 4 Ho 3.50-3.51, 1 Y 3.51
Tm  0.5001  0.5000  0.1683  1 Ho 3.49, 7 Tm 3.49-3.54, 4 Y 3.51-3.52
Tm  0.4999  0.5000  0.8317  1 Ho 3.49, 7 Tm 3.49-3.54, 4 Y 3.51-3.52

---

The relative energies come out as a) 119; b) 229; c) 0, with values in meV per atom.

---

a) Density functional theory data (PBE-GGA) for an optimized crystal structure of YHoTm3.

Summary:
Mass density: 7.50 Mg/m³
Crystal system: monoclinic
Volume: 168.4 Å³/f.u.
Symmetry: No. 11
Spin magnetization: 0.0 μB per cell

abc: 3.5825 11.3643 8.4663
angles: 90.00 102.21 90.00
With the nearest neighbours (Å) after each atom.
Element x y z (fractional)
Y  0.0133  0.2500  0.0275  4 Tm 3.30-3.69, 2 Ho 3.39, 2 Y 3.58
Y  0.9867  0.7500  0.9725  4 Tm 3.30-3.69, 2 Ho 3.39, 2 Y 3.58
Ho  0.3121  0.7500  0.6242  6 Tm 3.18-3.40, 2 Y 3.39
Ho  0.6879  0.2500  0.3758  6 Tm 3.18-3.40, 2 Y 3.39
Tm  0.1562  0.9999  0.3122  6 Tm 3.36-3.59, 2 Ho 3.40, 1 Y 3.69
Tm  0.1562  0.5001  0.3122  6 Tm 3.36-3.59, 2 Ho 3.40, 1 Y 3.69
Tm  0.3463  0.2500  0.6929  2 Ho 3.18, 2 Y 3.30, 4 Tm 3.36
Tm  0.6537  0.7500  0.3071  2 Ho 3.18, 2 Y 3.30, 4 Tm 3.36
Tm  0.8438  0.0001  0.6878  6 Tm 3.36-3.59, 2 Ho 3.40, 1 Y 3.69
Tm  0.8438  0.4999  0.6878  6 Tm 3.36-3.59, 2 Ho 3.40, 1 Y 3.69

---

b) Density functional theory data (PBE-GGA) for an optimized crystal structure of YHoTm3.

Summary:
Mass density: 8.14 Mg/m³
Crystal system: triclinic
Volume: 155.2 Å³/f.u.
Symmetry: No. 2
Spin magnetization: 0.0 μB per cell

abc: 6.2086 6.6252 9.0859
angles: 107.60 90.02 117.89
With the nearest neighbours (Å) after each atom.
Element x y z (fractional)
Y  0.0335  0.3988  0.1503  9 Tm 3.46-3.60, 1 Y 3.49, 2 Ho 3.58-3.59
Y  0.9665  0.6012  0.8497  9 Tm 3.46-3.60, 1 Y 3.49, 2 Ho 3.58-3.59
Ho  0.3646  0.3990  0.6495  9 Tm 3.47-3.59, 1 Ho 3.48, 2 Y 3.58-3.59
Ho  0.6354  0.6010  0.3505  9 Tm 3.47-3.59, 1 Ho 3.48, 2 Y 3.58-3.59
Tm  0.1690  0.0017  0.2511  6 Tm 3.46-3.60, 3 Y 3.46-3.60, 3 Ho 3.47-3.57
Tm  0.2346  0.8007  0.5496  6 Tm 3.46-3.59, 4 Ho 3.47-3.58, 2 Y 3.48-3.59
Tm  0.4331  0.2001  0.9497  4 Y 3.47-3.59, 6 Tm 3.47-3.60, 2 Ho 3.47-3.59
Tm  0.5669  0.7999  0.0503  4 Y 3.47-3.59, 6 Tm 3.47-3.60, 2 Ho 3.47-3.59
Tm  0.7654  0.1993  0.4504  6 Tm 3.46-3.59, 4 Ho 3.47-3.58, 2 Y 3.48-3.59
Tm  0.8310  0.9983  0.7489  6 Tm 3.46-3.60, 3 Y 3.46-3.60, 3 Ho 3.47-3.57

---

The relative energies come out as a) 325; b) 0, with values in meV per atom.

---

a) Density functional theory data (PBE-GGA) for an optimized crystal structure of Y3Ho2Tm.

Summary:
Mass density: 6.74 Mg/m³
Crystal system: monoclinic
Volume: 188.5 Å³/f.u.
Symmetry: No. 15
Spin magnetization: 0.0 μB per cell

abc: 9.3748 9.3748 6.1301
angles: 90.01 90.01 44.40
With the nearest neighbours (Å) after each atom.
Element x y z (fractional)
Y  0.1252  0.8748  0.7500  4 Y 3.54, 4 Ho 3.54, 4 Tm 3.54-3.55
Y  0.2088  0.4586  0.5827  2 Tm 3.53-3.54, 6 Ho 3.54-3.55, 4 Y 3.54-3.55
Y  0.4586  0.2088  0.0827  2 Tm 3.53-3.54, 6 Ho 3.54-3.55, 4 Y 3.54-3.55
Y  0.5414  0.7912  0.9173  2 Tm 3.53-3.54, 6 Ho 3.54-3.55, 4 Y 3.54-3.55
Y  0.7912  0.5414  0.4173  2 Tm 3.53-3.54, 6 Ho 3.54-3.55, 4 Y 3.54-3.55
Y  0.8748  0.1252  0.2500  4 Y 3.54, 4 Ho 3.54, 4 Tm 3.54-3.55
Ho  0.0413  0.2915  0.9168  8 Y 3.54-3.55, 1 Tm 3.54, 3 Ho 3.54-3.55
Ho  0.2915  0.0413  0.4168  8 Y 3.54-3.55, 1 Tm 3.54, 3 Ho 3.54-3.55
Ho  0.7085  0.9587  0.5832  8 Y 3.54-3.55, 1 Tm 3.54, 3 Ho 3.54-3.55
Ho  0.9587  0.7085  0.0832  8 Y 3.54-3.55, 1 Tm 3.54, 3 Ho 3.54-3.55
Tm  0.3752  0.6248  0.2500  8 Y 3.53-3.55, 2 Tm 3.54, 2 Ho 3.54
Tm  0.6248  0.3752  0.7500  8 Y 3.53-3.55, 2 Tm 3.54, 2 Ho 3.54

---

b) Density functional theory data (PBE-GGA) for an optimized crystal structure of Y3Ho2Tm.

Summary:
Mass density: 6.58 Mg/m³
Crystal system: monoclinic
Volume: 193.2 Å³/f.u.
Symmetry: No. 12
Spin magnetization: 0.0 μB per cell

abc: 11.6652 11.6652 10.1416
angles: 108.17 108.17 17.16
With the nearest neighbours (Å) after each atom.
Element x y z (fractional)
Y  0.0591  0.0591  0.4386  6 Y 3.34-3.53, 3 Ho 3.36-3.63
Y  0.1958  0.1958  0.7150  3 Tm 3.35-3.49, 3 Ho 3.44-3.46, 5 Y 3.48-3.58
Y  0.4298  0.4298  0.2279  8 Y 3.48-3.74, 2 Tm 3.63, 2 Ho 3.66-3.69
Y  0.5702  0.5702  0.7721  8 Y 3.48-3.74, 2 Tm 3.63, 2 Ho 3.66-3.69
Y  0.8042  0.8042  0.2850  3 Tm 3.35-3.49, 3 Ho 3.44-3.46, 5 Y 3.48-3.58
Y  0.9409  0.9409  0.5614  6 Y 3.34-3.53, 3 Ho 3.36-3.63
Ho  0.1926  0.1926  0.3716  1 Tm 3.34, 4 Y 3.36-3.46, 6 Ho 3.48-3.53
Ho  0.4282  0.4282  0.8657  5 Ho 3.48-3.56, 2 Tm 3.58, 4 Y 3.63-3.69
Ho  0.5718  0.5718  0.1343  5 Ho 3.48-3.56, 2 Tm 3.58, 4 Y 3.63-3.69
Ho  0.8074  0.8074  0.6284  1 Tm 3.34, 4 Y 3.36-3.46, 6 Ho 3.48-3.53
Tm  0.1886  0.1886  0.0397  3 Ho 3.34-3.58, 5 Y 3.35-3.63, 4 Tm 3.48-3.63
Tm  0.8114  0.8114  0.9603  3 Ho 3.34-3.58, 5 Y 3.35-3.63, 4 Tm 3.48-3.63

---

The relative energies come out as a) 0; b) 98, with values in meV per atom.

---

a) Density functional theory data (PBE-GGA) for an optimized crystal structure of Y2Ho5Tm2.

Summary:
Mass density: 7.75 Mg/m³
Crystal system: orthorhombic
Volume: 287.2 Å³/f.u.
Symmetry: No. 46
Spin magnetization: 0.0 μB per cell

abc: 9.9793 9.9793 9.9793
angles: 84.30 108.91 140.82
With the nearest neighbours (Å) after each atom.
Element x y z (fractional)
Y  0.0074  0.1272  0.1346  4 Ho 3.30-3.62, 2 Tm 3.49-3.52, 1 Y 3.64
Y  0.0074  0.3728  0.3802  4 Ho 3.30-3.62, 2 Tm 3.49-3.52, 1 Y 3.64
Y  0.9926  0.6272  0.6198  4 Ho 3.30-3.62, 2 Tm 3.49-3.52, 1 Y 3.64
Y  0.9926  0.8728  0.8654  4 Ho 3.30-3.62, 2 Tm 3.49-3.52, 1 Y 3.64
Ho  0.0917  0.4730  0.9044  4 Ho 3.13-3.36, 1 Y 3.33, 1 Tm 3.39
Ho  0.0917  0.6873  0.1187  4 Ho 3.13-3.36, 1 Y 3.33, 1 Tm 3.39
Ho  0.1054  0.0935  0.5119  4 Ho 3.20-3.36, 1 Tm 3.27
Ho  0.4135  0.2061  0.3126  4 Ho 3.13-3.35, 1 Tm 3.21, 1 Y 3.30
Ho  0.4135  0.6009  0.7074  4 Ho 3.13-3.35, 1 Tm 3.21, 1 Y 3.30
Ho  0.5686  0.1873  0.0956  4 Ho 3.13-3.36, 1 Y 3.33, 1 Tm 3.39
Ho  0.5686  0.9730  0.8813  4 Ho 3.13-3.36, 1 Y 3.33, 1 Tm 3.39
Ho  0.5816  0.5935  0.4881  4 Ho 3.20-3.36, 1 Tm 3.27
Ho  0.8935  0.1009  0.6874  4 Ho 3.13-3.35, 1 Tm 3.21, 1 Y 3.30
Ho  0.8935  0.7061  0.2926  4 Ho 3.13-3.35, 1 Tm 3.21, 1 Y 3.30
Tm  0.4441  0.4441  0.0000  4 Ho 3.21-3.56, 2 Y 3.52
Tm  0.4441  0.9441  0.5000  4 Ho 3.21-3.56, 2 Y 3.52
Tm  0.5400  0.8061  0.2340  3 Ho 3.27-3.39, 2 Y 3.49
Tm  0.5721  0.3061  0.7660  3 Ho 3.27-3.39, 2 Y 3.49

---

b) Density functional theory data (PBE-GGA) for an optimized crystal structure of Y2Ho5Tm2.

Summary:
Mass density: 7.86 Mg/m³
Crystal system: monoclinic
Volume: 283.1 Å³/f.u.
Symmetry: No. 12
Spin magnetization: 0.0 μB per cell

abc: 8.6342 8.6342 6.3184
angles: 104.90 104.90 38.65
With the nearest neighbours (Å) after each atom.
Element x y z (fractional)
Y  0.0628  0.0628  0.2858  8 Ho 3.43-3.83, 2 Tm 3.47, 2 Y 3.63-3.81
Y  0.9372  0.9372  0.7142  8 Ho 3.43-3.83, 2 Tm 3.47, 2 Y 3.63-3.81
Ho  0.1799  0.1799  0.8592  3 Tm 3.39-3.44, 6 Ho 3.50-3.79, 2 Y 3.61-3.70
Ho  0.2916  0.2916  0.4325  7 Ho 3.31-3.64, 1 Tm 3.44, 1 Y 3.59
Ho  0.5000  0.5000  0.5000  2 Tm 3.23, 2 Ho 3.31, 4 Y 3.43
Ho  0.7084  0.7084  0.5675  7 Ho 3.31-3.64, 1 Tm 3.44, 1 Y 3.59
Ho  0.8201  0.8201  0.1408  3 Tm 3.39-3.44, 6 Ho 3.50-3.79, 2 Y 3.61-3.70
Tm  0.3988  0.3988  0.9829  5 Ho 3.23-3.44, 1 Tm 3.25, 2 Y 3.47
Tm  0.6012  0.6012  0.0171  5 Ho 3.23-3.44, 1 Tm 3.25, 2 Y 3.47

---

The relative energies come out as a) 109; b) 0, with values in meV per atom.

---

a) Density functional theory data (PBE-GGA) for an optimized crystal structure of Y3HoTm.

Summary:
Mass density: 6.28 Mg/m³
Crystal system: orthorhombic
Volume: 158.7 Å³/f.u.
Symmetry: No. 36
Spin magnetization: 0.0 μB per cell

abc: 8.7529 8.7529 7.0325
angles: 90.00 90.00 143.90
With the nearest neighbours (Å) after each atom.
Element x y z (fractional)
Y  0.0007  0.9993  0.5000  1 Ho 3.31, 5 Y 3.34-3.70
Y  0.2001  0.7999  0.9993  4 Ho 3.19-3.52, 1 Y 3.34, 2 Tm 3.56
Y  0.3911  0.6089  0.7501  3 Tm 3.51-3.65, 3 Ho 3.57-3.64, 7 Y 3.57-3.71
Y  0.6089  0.3911  0.2501  3 Tm 3.51-3.65, 3 Ho 3.57-3.64, 7 Y 3.57-3.71
Y  0.7999  0.2001  0.4993  4 Ho 3.19-3.52, 1 Y 3.34, 2 Tm 3.56
Y  0.9993  0.0007  0.0000  1 Ho 3.31, 5 Y 3.34-3.70
Ho  0.1994  0.8006  0.5001  7 Y 3.19-3.57, 2 Tm 3.55
Ho  0.8006  0.1994  0.0001  7 Y 3.19-3.57, 2 Tm 3.55
Tm  0.3893  0.6107  0.2492  10 Y 3.51-3.73, 3 Ho 3.55-3.62
Tm  0.6107  0.3893  0.7492  10 Y 3.51-3.73, 3 Ho 3.55-3.62

---

b) Density functional theory data (PBE-GGA) for an optimized crystal structure of Y3HoTm.

Summary:
Mass density: 6.25 Mg/m³
Crystal system: monoclinic
Volume: 159.7 Å³/f.u.
Symmetry: No. 11
Spin magnetization: 0.0 μB per cell

abc: 6.2800 5.6119 9.5895
angles: 90.00 109.10 90.00
With the nearest neighbours (Å) after each atom.
Element x y z (fractional)
Y  0.1358  0.2500  0.0993  4 Tm 3.50-3.64, 3 Ho 3.50-3.61, 5 Y 3.51-3.64
Y  0.2646  0.7500  0.7019  3 Tm 3.50-3.60, 3 Ho 3.50-3.65, 6 Y 3.51-3.66
Y  0.3330  0.2500  0.5010  4 Ho 3.50-3.63, 7 Y 3.51-3.66, 1 Tm 3.62
Y  0.6670  0.7500  0.4990  4 Ho 3.50-3.63, 7 Y 3.51-3.66, 1 Tm 3.62
Y  0.7354  0.2500  0.2981  3 Tm 3.50-3.60, 3 Ho 3.50-3.65, 6 Y 3.51-3.66
Y  0.8642  0.7500  0.9007  4 Tm 3.50-3.64, 3 Ho 3.50-3.61, 5 Y 3.51-3.64
Ho  0.0685  0.7500  0.2990  10 Y 3.50-3.65, 2 Tm 3.62-3.63
Ho  0.9315  0.2500  0.7010  10 Y 3.50-3.65, 2 Tm 3.62-3.63
Tm  0.4681  0.7500  0.0995  2 Tm 3.49, 8 Y 3.50-3.64, 2 Ho 3.62-3.63
Tm  0.5319  0.2500  0.9005  2 Tm 3.49, 8 Y 3.50-3.64, 2 Ho 3.62-3.63

---

The relative energies come out as a) 52; b) 0, with values in meV per atom.